Record 1
Entry from Alexandria via LeMat-Bulk: KSc2Br after structural relaxation (PBE).

Structure (POSCAR):
```
KSc2Br
1.0
2.042 -2.783 0.000
2.042 2.783 0.000
0.000 0.000 10.219
K Sc Br
1 2 1
Direct
0.000 0.000 0.000
0.000 0.000 0.448
0.500 0.500 0.669
0.500 0.500 0.248
```

- VASP energy: -4.215 eV per atom
- DOS(E_F): 4.7 states/eV/f.u.
- ΔE_f (raw): -357 meV/atom
- Total moment: 0.00 μB per formula unit

Record 2
Entry from Alexandria via LeMat-Bulk: KSc2Br after structural relaxation (PBE).

Structure (POSCAR):
```
KSc2Br
1.0
-2.730 2.730 10.071
2.730 -2.730 10.071
2.730 2.730 -10.071
K Sc Br
2 4 2
Direct
0.375 0.625 0.750
0.625 0.375 0.250
0.000 0.000 0.000
0.000 0.000 0.500
0.000 0.500 0.000
0.500 0.000 0.500
0.125 0.875 0.250
0.875 0.125 0.750
```

- VASP energy: -3.600 eV per atom
- DOS(E_F): 5.9 states/eV/f.u.
- ΔE_f (raw): 258 meV/atom
- Total moment: 0.00 μB per formula unit

Record 3
Entry from Alexandria via LeMat-Bulk: KScBr2 after structural relaxation (PBE).

Structure (POSCAR):
```
KScBr2
1.0
-1.932 3.731 4.943
1.932 -3.731 4.943
1.932 3.731 -4.943
K Sc Br
1 1 2
Direct
0.000 0.000 0.000
0.500 0.500 0.000
0.309 0.809 0.500
0.691 0.191 0.500
```

- VASP energy: -3.711 eV per atom
- DOS(E_F): 1.8 states/eV/f.u.
- ΔE_f (raw): -1017 meV/atom
- Total moment: 0.77 μB per formula unit

Record 4
Entry from Alexandria via LeMat-Bulk: KSc2Br after structural relaxation (PBE).

Structure (POSCAR):
```
KSc2Br
1.0
1.733 1.000 11.374
-1.733 1.000 11.374
0.000 -2.001 11.374
K Sc Br
1 2 1
Direct
0.000 0.000 0.000
0.103 0.103 0.103
0.897 0.897 0.897
0.500 0.500 0.500
```

- VASP energy: -3.881 eV per atom
- DOS(E_F): 2.3 states/eV/f.u.
- ΔE_f (raw): -23 meV/atom
- Total moment: 2.00 μB per formula unit